MnPb3: optimized geometry, PBE.

```
data_MnPb3
_chemical_formula_sum 'Mn2 Pb6'
_symmetry_space_group_name_H-M 'P 1'
_symmetry_Int_Tables_number 1
_cell_length_a 5.4570
_cell_length_b 6.1482
_cell_length_c 6.5180
_cell_angle_alpha 90.00
_cell_angle_beta 90.00
_cell_angle_gamma 90.00
loop_
_symmetry_equiv_pos_as_xyz
'x,y,z'
loop_
_atom_site_label
_atom_site_fract_x
_atom_site_fract_y
_atom_site_fract_z
Pb1 0.5000 0.8392 0.7506
Pb2 0.0000 0.1608 0.7494
Pb3 0.5000 0.8392 0.2494
Pb4 0.5000 0.3707 0.0000
Pb5 0.0000 0.6293 0.5000
Pb6 0.0000 0.1608 0.2506
Mn1 0.5000 0.3473 0.5000
Mn2 0.0000 0.6527 0.0000
```

Its calculated volume is 218.7 Å³ per cell. The energy of formation is 1.4 eV per formula unit. The total DFT energy (no corrections) is -37.75 eV/cell. The space-group type is Pmmn.